No. 1
DFT (PBE-GGA) results for a geometry-optimized Tb2BiP2N6 structure.

a b c (Å): 6.805 6.380 6.339
angles (deg): 119.03 89.92 57.88
Site moments in Bohr magnetons follow the coordinates.
Atoms (fractional coordinates):
Tb (0.814, 0.371, 0.813)  0.01
Tb (0.186, 0.629, 0.187)  0.01
Bi (0.500, 0.000, 0.500)  0.51
P (0.173, 0.655, 0.736)  0.00
P (0.827, 0.345, 0.264)  0.00
N (0.429, 0.522, 0.786)  0.03
N (0.950, 0.479, 0.215)  0.03
N (0.062, 0.876, 0.653)  0.01
N (0.050, 0.521, 0.785)  0.03
N (0.938, 0.124, 0.347)  0.01
N (0.571, 0.478, 0.214)  0.03

Calculated values
Formation energy without anion corrections = -511.8 meV/atom
DOS at the Fermi energy = 0.52 states/eV/f.u.
Calculated volume = 191 Å³ per cell
Space-group type = P-1, No. 2


No. 2
DFT (PBE-GGA) results for a geometry-optimized LiThTl2 structure.

a b c (Å): 4.551 4.829 4.829
angles (deg): 90.00 90.00 90.00
Atoms (fractional coordinates):
Tl (0.000, 0.000, 0.500)
Tl (0.000, 0.500, 0.000)
Th (0.500, 0.500, 0.500)
Li (0.500, 0.000, 0.000)

Calculated values
DOS at the Fermi energy = 2.12 states/eV/f.u.
Calculated volume = 106 Å³ per cell
ΔE_f = -11.8 kJ/mol of atoms
Space-group type = P4/mmm, No. 123


No. 3
DFT (PBE-GGA) results for a geometry-optimized BaSrLiAu structure.

a b c (Å): 5.725 5.725 5.725
angles (deg): 60.00 60.00 60.00
Atoms (fractional coordinates):
Sr (0.750, 0.750, 0.750)
Au (0.000, 0.000, 0.000)
Ba (0.250, 0.250, 0.250)
Li (0.500, 0.500, 0.500)

Calculated values
Polymorph energy (0 for the lowest one) = 102 meV/atom
DOS at the Fermi energy = 4.40 states/eV/f.u.
Calculated volume = 133 Å³ per cell
ΔE_f = -30.4 kJ/mol of atoms
Space-group type = F-43m, No. 216


No. 4
DFT (PBE-GGA) results for a geometry-optimized Tl2SiBi structure.

a b c (Å): 5.392 5.392 5.392
angles (deg): 60.00 60.00 60.00
Atoms (fractional coordinates):
Tl (0.250, 0.250, 0.250)
Tl (0.750, 0.750, 0.750)
Si (0.000, 0.000, 0.000)
Bi (0.500, 0.500, 0.500)

Calculated values
Formation energy without anion corrections = 435.4 meV/atom
Polymorph energy (0 for the lowest one) = 18 meV/atom
DOS at the Fermi energy = 2.75 states/eV/f.u.
Calculated volume = 111 Å³ per cell
Space-group type = Fm-3m, No. 225